Entry 1:
The following is a PBE calculation of ZrPdC2 after structural relaxation, from the Open Quantum Materials Database.

Summary:
Total DFT energy (no corrections), eV per atom: -7.62
Space-group type: No. 123

a = 3.271 Å, b = 3.271 Å, c = 4.555 Å
α = 90.00°, β = 90.00°, γ = 90.00°
Sites, in units of the cell vectors:
1 C 0.500 0.500 0.500
2 C 0.000 0.000 0.000
3 Zr 0.500 0.500 0.000
4 Pd 0.000 0.000 0.500

***

Entry 2:
The following is a PBE calculation of CoNiAsOs after structural relaxation, from the Open Quantum Materials Database.

Summary:
ΔE to the lowest computed polymorph, meV per atom: 0
Total DFT energy (no corrections), eV per atom: -6.95
Space-group type: No. 216

a = 4.141 Å, b = 4.141 Å, c = 4.141 Å
α = 60.00°, β = 60.00°, γ = 60.00°
Sites, in units of the cell vectors:
1 Os 0.250 0.250 0.250
2 Co 0.750 0.750 0.750
3 Ni 0.500 0.500 0.500
4 As 0.000 0.000 0.000

***

Entry 3:
The following is a PBE calculation of ZnBr2 after structural relaxation, from the Open Quantum Materials Database.

Summary:
Total DFT energy (no corrections), eV per atom: -2.34
Space-group type: No. 166

a = 7.196 Å, b = 7.196 Å, c = 7.196 Å
α = 30.52°, β = 30.52°, γ = 30.52°
Sites, in units of the cell vectors:
1 Br 0.739 0.739 0.739
2 Br 0.261 0.261 0.261
3 Zn 0.000 0.000 0.000

***

Entry 4:
The following is a PBE calculation of CoI3 after structural relaxation, from the Open Quantum Materials Database.

Summary:
Total DFT energy (no corrections), eV per atom: -2.67
Space-group type: No. 221

a = 7.485 Å, b = 7.485 Å, c = 7.485 Å
α = 60.00°, β = 60.00°, γ = 60.00°
Sites, in units of the cell vectors:
1 Co 0.000 0.000 0.000
2 Co 0.500 0.500 0.500
3 I 0.750 0.750 0.250
4 I 0.750 0.250 0.250
5 I 0.250 0.250 0.750
6 I 0.750 0.250 0.750
7 I 0.250 0.750 0.750
8 I 0.250 0.750 0.250

***

Entry 5:
The following is a PBE calculation of PrW2 after structural relaxation, from the Open Quantum Materials Database.

Summary:
Energy of formation, eV/atom: 4.82
Total DFT energy (no corrections), eV per atom: -5.41
Space-group type: No. 227

a = 9.643 Å, b = 9.643 Å, c = 9.643 Å
α = 60.00°, β = 60.00°, γ = 60.00°
Sites, in units of the cell vectors:
1 W 0.375 0.375 0.375
2 W 0.875 0.375 0.375
3 W 0.375 0.875 0.375
4 W 0.375 0.375 0.875
5 Pr 0.250 0.250 0.250
6 Pr 0.500 0.500 0.500

***

Entry 6:
The following is a PBE calculation of BaTeIr after structural relaxation, from the Open Quantum Materials Database.

Summary:
ΔE to the lowest computed polymorph, meV per atom: 0
Total DFT energy (no corrections), eV per atom: -4.79
Space-group type: No. 216

a = 4.999 Å, b = 4.999 Å, c = 4.999 Å
α = 60.00°, β = 60.00°, γ = 60.00°
Sites, in units of the cell vectors:
1 Te 0.750 0.750 0.750
2 Ba 0.250 0.250 0.250
3 Ir 0.000 0.000 0.000

***

Entry 7:
The following is a PBE calculation of NdZnPdPt3 after structural relaxation, from the Open Quantum Materials Database.

Summary:
Energy of formation, eV/atom: -0.72
Total DFT energy (no corrections), eV per atom: -5.61
Space-group type: No. 187

a = 5.463 Å, b = 5.463 Å, c = 4.312 Å
α = 90.00°, β = 90.00°, γ = 120.00°
Sites, in units of the cell vectors:
1 Pt 0.501 0.003 0.500
2 Pt 0.997 0.499 0.500
3 Pt 0.501 0.499 0.500
4 Nd 0.000 0.000 0.000
5 Pd 0.333 0.667 0.000
6 Zn 0.667 0.333 0.000

***

Entry 8:
The following is a PBE calculation of Tm2Al2Ir3Pd after structural relaxation, from the Open Quantum Materials Database.

Summary:
Total DFT energy (no corrections), eV per atom: -6.85
Space-group type: No. 156

a = 4.280 Å, b = 4.280 Å, c = 9.094 Å
α = 90.00°, β = 90.00°, γ = 120.00°
Sites, in units of the cell vectors:
1 Ir 0.667 0.333 0.410
2 Ir 0.000 0.000 0.580
3 Ir 0.667 0.333 0.089
4 Pd 0.000 0.000 0.912
5 Al 0.333 0.667 0.501
6 Al 0.333 0.667 0.013
7 Tm 0.000 0.000 0.250
8 Tm 0.667 0.333 0.745

***

Entry 9:
The following is a PBE calculation of TbMg after structural relaxation, from the Open Quantum Materials Database.

Summary:
Total DFT energy (no corrections), eV per atom: -3.11
Space-group type: No. 11

a = 8.737 Å, b = 7.192 Å, c = 5.375 Å
α = 90.00°, β = 90.00°, γ = 101.84°
Sites, in units of the cell vectors:
1 Mg 0.989 0.502 0.000
2 Mg 0.301 0.828 0.000
3 Mg 0.232 0.062 0.500
4 Mg 0.990 0.994 0.000
5 Mg 0.233 0.553 0.500
6 Mg 0.922 0.228 0.500
7 Tb 0.652 0.663 0.000
8 Tb 0.549 0.886 0.500
9 Tb 0.306 0.324 0.000
10 Tb 0.673 0.169 0.000
11 Tb 0.570 0.393 0.500
12 Tb 0.916 0.732 0.500

***

Entry 10:
The following is a PBE calculation of PaSiW after structural relaxation, from the Open Quantum Materials Database.

Summary:
Total DFT energy (no corrections), eV per atom: -8.17
Space-group type: No. 216

a = 4.573 Å, b = 4.573 Å, c = 4.573 Å
α = 60.00°, β = 60.00°, γ = 60.00°
Sites, in units of the cell vectors:
1 W 0.750 0.750 0.750
2 Si 0.250 0.250 0.250
3 Pa 0.000 0.000 0.000

***

Entry 11:
The following is a PBE calculation of Zn2Br3Cl after structural relaxation, from the Open Quantum Materials Database.

Summary:
ΔE to the lowest computed polymorph, meV per atom: 0
Total DFT energy (no corrections), eV per atom: -2.51
Space-group type: No. 25

a = 3.836 Å, b = 3.901 Å, c = 12.122 Å
α = 90.00°, β = 90.00°, γ = 90.00°
Sites, in units of the cell vectors:
1 Br 0.500 0.500 0.883
2 Br 0.000 0.000 0.623
3 Br 0.500 0.500 0.376
4 Zn 0.500 0.000 0.005
5 Zn 0.000 0.500 0.500
6 Cl 0.000 0.000 0.113

***

Entry 12:
The following is a PBE calculation of AsOsPb2 after structural relaxation, from the Open Quantum Materials Database.

Summary:
Total DFT energy (no corrections), eV per atom: -4.98
Space-group type: No. 216

a = 4.953 Å, b = 4.953 Å, c = 4.953 Å
α = 60.00°, β = 60.00°, γ = 60.00°
Sites, in units of the cell vectors:
1 Pb 0.250 0.250 0.250
2 Pb 0.000 0.000 0.000
3 Os 0.500 0.500 0.500
4 As 0.750 0.750 0.750

***

Entry 13:
The following is a PBE calculation of LuCuSnPt after structural relaxation, from the Open Quantum Materials Database.

Summary:
ΔE to the lowest computed polymorph, meV per atom: 0
Total DFT energy (no corrections), eV per atom: -5.26
Space-group type: No. 216

a = 4.704 Å, b = 4.704 Å, c = 4.704 Å
α = 60.00°, β = 60.00°, γ = 60.00°
Sites, in units of the cell vectors:
1 Lu 0.500 0.500 0.500
2 Sn 0.000 0.000 0.000
3 Pt 0.250 0.250 0.250
4 Cu 0.750 0.750 0.750

***

Entry 14:
The following is a PBE calculation of Sr2Si2Pt3 after structural relaxation, from the Open Quantum Materials Database.

Summary:
Total DFT energy (no corrections), eV per atom: -5.41
Space-group type: No. 160

a = 10.938 Å, b = 10.938 Å, c = 10.938 Å
α = 22.11°, β = 22.11°, γ = 22.11°
Sites, in units of the cell vectors:
1 Si 0.004 0.004 0.004
2 Si 0.508 0.508 0.508
3 Pt 0.358 0.358 0.358
4 Pt 0.652 0.652 0.652
5 Pt 0.848 0.848 0.848
6 Sr 0.754 0.754 0.754
7 Sr 0.251 0.251 0.251

***

Entry 15:
The following is a PBE calculation of Tm3LuHg2C2 after structural relaxation, from the Open Quantum Materials Database.

Summary:
Total DFT energy (no corrections), eV per atom: -5.05
Space-group type: No. 156

a = 3.544 Å, b = 3.544 Å, c = 15.485 Å
α = 90.00°, β = 90.00°, γ = 120.00°
Sites, in units of the cell vectors:
1 Hg 0.667 0.333 0.751
2 Hg 0.000 0.000 0.250
3 Tm 0.000 0.000 0.586
4 Tm 0.667 0.333 0.085
5 Tm 0.667 0.333 0.414
6 C 0.333 0.667 0.999
7 C 0.333 0.667 0.500
8 Lu 0.000 0.000 0.915

***

Entry 16:
The following is a PBE calculation of AlCuSiPt after structural relaxation, from the Open Quantum Materials Database.

Summary:
ΔE to the lowest computed polymorph, meV per atom: 0
Total DFT energy (no corrections), eV per atom: -5.04
Space-group type: No. 216

a = 4.281 Å, b = 4.281 Å, c = 4.281 Å
α = 60.00°, β = 60.00°, γ = 60.00°
Sites, in units of the cell vectors:
1 Cu 0.750 0.750 0.750
2 Si 0.000 0.000 0.000
3 Pt 0.250 0.250 0.250
4 Al 0.500 0.500 0.500

***

Entry 17:
The following is a PBE calculation of HgI after structural relaxation, from the Open Quantum Materials Database.

Summary:
ΔE to the lowest computed polymorph, meV per atom: 488
Total DFT energy (no corrections), eV per atom: -0.67
Space-group type: No. 187

a = 3.606 Å, b = 3.606 Å, c = 5.861 Å
α = 90.00°, β = 90.00°, γ = 120.00°
Sites, in units of the cell vectors:
1 I 0.333 0.667 0.250
2 Hg 0.667 0.333 0.750

***

Entry 18:
The following is a PBE calculation of BaYCuTe2Se after structural relaxation, from the Open Quantum Materials Database.

Summary:
Total DFT energy (no corrections), eV per atom: -5.01
Space-group type: No. 63

a = 7.718 Å, b = 7.718 Å, c = 10.938 Å
α = 90.00°, β = 90.00°, γ = 147.12°
Sites, in units of the cell vectors:
1 Cu 0.027 0.973 0.250
2 Cu 0.973 0.027 0.750
3 Ba 0.232 0.768 0.750
4 Ba 0.768 0.232 0.250
5 Te 0.861 0.139 0.939
6 Te 0.139 0.861 0.061
7 Te 0.139 0.861 0.439
8 Te 0.861 0.139 0.561
9 Se 0.563 0.437 0.750
10 Se 0.437 0.563 0.250
11 Y 0.500 0.500 0.500
12 Y 0.500 0.500 0.000

***

Entry 19:
The following is a PBE calculation of LiHo3Ni8 after structural relaxation, from the Open Quantum Materials Database.

Summary:
Total DFT energy (no corrections), eV per atom: -5.43
Space-group type: No. 160

a = 8.597 Å, b = 8.597 Å, c = 8.597 Å
α = 33.53°, β = 33.53°, γ = 33.53°
Sites, in units of the cell vectors:
1 Ni 0.939 0.438 0.939
2 Ni 0.436 0.436 0.942
3 Ni 0.942 0.436 0.436
4 Ni 0.188 0.188 0.188
5 Ni 0.688 0.688 0.688
6 Ni 0.939 0.939 0.438
7 Ni 0.438 0.939 0.939
8 Ni 0.436 0.942 0.436
9 Li 0.870 0.870 0.870
10 Ho 0.507 0.507 0.507
11 Ho 0.378 0.378 0.378
12 Ho 0.991 0.991 0.991

***

Entry 20:
The following is a PBE calculation of CsPIrO after structural relaxation, from the Open Quantum Materials Database.

Summary:
ΔE to the lowest computed polymorph, meV per atom: 0
Total DFT energy (no corrections), eV per atom: -5.45
Space-group type: No. 26

a = 3.801 Å, b = 6.902 Å, c = 7.394 Å
α = 90.00°, β = 90.00°, γ = 90.00°
Sites, in units of the cell vectors:
1 Cs 0.500 0.149 0.569
2 Cs 0.500 0.851 0.069
3 Ir 0.000 0.651 0.471
4 Ir 0.000 0.349 0.971
5 O 0.500 0.262 0.950
6 O 0.500 0.738 0.450
7 P 0.000 0.420 0.264
8 P 0.000 0.580 0.764

***

Entry 21:
The following is a PBE calculation of Be2SiNiAs4 after structural relaxation, from the Open Quantum Materials Database.

Summary:
Total DFT energy (no corrections), eV per atom: -4.68
Space-group type: No. 82

a = 6.549 Å, b = 6.549 Å, c = 6.549 Å
α = 132.51°, β = 132.51°, γ = 69.42°
Sites, in units of the cell vectors:
1 Be 0.250 0.750 0.500
2 Be 0.000 0.000 0.000
3 As 0.889 0.867 0.510
4 As 0.621 0.111 0.978
5 As 0.357 0.379 0.490
6 As 0.133 0.643 0.022
7 Si 0.750 0.250 0.500
8 Ni 0.500 0.500 0.000

***

Entry 22:
The following is a PBE calculation of YBeCoGe after structural relaxation, from the Open Quantum Materials Database.

Summary:
ΔE to the lowest computed polymorph, meV per atom: 0
Total DFT energy (no corrections), eV per atom: -5.58
Space-group type: No. 216

a = 4.372 Å, b = 4.372 Å, c = 4.372 Å
α = 60.00°, β = 60.00°, γ = 60.00°
Sites, in units of the cell vectors:
1 Ge 0.000 0.000 0.000
2 Be 0.750 0.750 0.750
3 Y 0.500 0.500 0.500
4 Co 0.250 0.250 0.250

***

Entry 23:
The following is a PBE calculation of Na2CdH4S2O10 after structural relaxation, from the Open Quantum Materials Database.

Summary:
Total DFT energy (no corrections), eV per atom: -5.37
Space-group type: No. 14

a = 5.842 Å, b = 12.781 Å, c = 5.521 Å
α = 90.00°, β = 106.47°, γ = 90.00°
Sites, in units of the cell vectors:
1 Na 0.581 0.118 0.262
2 Na 0.419 0.882 0.738
3 Na 0.419 0.618 0.238
4 Na 0.581 0.382 0.762
5 O 0.433 0.301 0.094
6 O 0.996 0.833 0.474
7 O 0.004 0.167 0.526
8 O 0.567 0.699 0.906
9 O 0.746 0.960 0.611
10 O 0.197 0.848 0.017
11 O 0.746 0.540 0.111
12 O 0.433 0.199 0.594
13 O 0.254 0.040 0.389
14 O 0.567 0.801 0.406
15 O 0.300 0.436 0.335
16 O 0.700 0.564 0.665
17 O 0.700 0.936 0.165
18 O 0.254 0.460 0.889
19 O 0.803 0.348 0.483
20 O 0.004 0.333 0.026
21 O 0.803 0.152 0.983
22 O 0.300 0.064 0.835
23 O 0.197 0.652 0.517
24 O 0.996 0.667 0.974
25 S 0.756 0.880 0.414
26 S 0.244 0.120 0.586
27 S 0.756 0.620 0.914
28 S 0.244 0.380 0.086
29 H 0.673 0.165 0.823
30 H 0.673 0.335 0.323
31 H 0.093 0.715 0.488
32 H 0.907 0.285 0.512
33 H 0.093 0.785 0.988
34 H 0.327 0.665 0.677
35 H 0.327 0.835 0.177
36 H 0.907 0.215 0.012
37 Cd 0.000 0.000 0.000
38 Cd 0.000 0.500 0.500

***

Entry 24:
The following is a PBE calculation of NbFe2 after structural relaxation, from the Open Quantum Materials Database.

Summary:
Energy of formation, eV/atom: -0.13
Total DFT energy (no corrections), eV per atom: -9.03
Space-group type: No. 194

a = 4.790 Å, b = 4.790 Å, c = 15.646 Å
α = 90.00°, β = 90.00°, γ = 120.00°
Sites, in units of the cell vectors:
1 Nb 0.000 0.000 0.906
2 Nb 0.667 0.333 0.156
3 Nb 0.000 0.000 0.406
4 Nb 0.333 0.667 0.656
5 Nb 0.667 0.333 0.344
6 Nb 0.000 0.000 0.594
7 Nb 0.333 0.667 0.844
8 Nb 0.000 0.000 0.094
9 Fe 0.000 0.500 0.500
10 Fe 0.500 0.500 0.000
11 Fe 0.333 0.667 0.375
12 Fe 0.500 0.500 0.500
13 Fe 0.165 0.835 0.250
14 Fe 0.667 0.333 0.875
15 Fe 0.000 0.500 0.000
16 Fe 0.500 0.000 0.000
17 Fe 0.835 0.670 0.750
18 Fe 0.667 0.333 0.625
19 Fe 0.835 0.165 0.750
20 Fe 0.165 0.330 0.250
21 Fe 0.333 0.667 0.125
22 Fe 0.670 0.835 0.250
23 Fe 0.500 0.000 0.500
24 Fe 0.330 0.165 0.750